[1]
Density functional theory data (PBE) for an optimized crystal structure of MnH2I6.

Geometry as POSCAR:
```
MnH2I6
1.0
6.811 -0.784 -0.370
-0.890 10.160 1.161
-1.590 -0.164 10.140
I Mn H
12 2 4
Direct
0.059 0.097 0.671
0.987 0.468 0.270
0.511 0.964 0.836
0.489 0.036 0.164
0.441 0.329 0.903
0.941 0.903 0.329
0.559 0.671 0.097
0.513 0.730 0.532
0.487 0.270 0.468
0.011 0.836 0.964
0.989 0.164 0.036
0.013 0.532 0.730
0.750 0.917 0.083
0.250 0.083 0.917
0.328 0.653 0.609
0.828 0.609 0.653
0.172 0.391 0.347
0.672 0.347 0.391
```

The symmetry is C2/c (15). The value obtained for the total energy is -2.909 eV/atom.



[2]
Density functional theory data (PBE) for an optimized crystal structure of AgIr3.

Geometry as POSCAR:
```
AgIr3
1.0
-0.244 -0.226 4.803
-2.340 -1.743 3.829
5.627 -1.703 -9.464
Ir Ag
3 1
Direct
0.000 0.000 0.500
0.978 0.978 0.737
0.022 0.022 0.263
0.000 0.000 0.000
```

The formation enthalpy at 0 K is 307 meV/atom. The symmetry is C2/m (12).



[3]
Density functional theory data (PBE) for an optimized crystal structure of MgPtI2N.

Geometry as POSCAR:
```
MgPtI2N
1.0
-0.294 5.632 -0.050
-0.108 0.044 5.638
3.946 0.207 0.074
Pt I N Mg
1 2 1 1
Direct
0.500 0.500 0.500
0.000 0.500 0.000
0.500 0.000 0.000
0.000 0.000 0.500
0.000 0.000 0.000
```

The raw formation energy comes out at 4.2 eV/f.u. Its polymorph energy (0 for the lowest one) is 559 meV/atom. The symmetry is P4/mmm (123).



[4]
Density functional theory data (PBE) for an optimized crystal structure of ThAl6Au12.

Geometry as POSCAR:
```
ThAl6Au12
1.0
7.509 -0.110 -0.156
-1.968 7.247 -0.156
-1.968 -2.535 6.791
Au Al Th
12 6 1
Direct
0.621 0.871 0.621
0.379 0.379 0.129
0.119 0.500 0.881
0.129 0.379 0.379
0.500 0.119 0.881
0.881 0.500 0.119
0.500 0.881 0.119
0.379 0.129 0.379
0.621 0.621 0.871
0.119 0.881 0.500
0.871 0.621 0.621
0.881 0.119 0.500
0.281 0.692 0.281
0.692 0.281 0.281
0.719 0.308 0.719
0.719 0.719 0.308
0.281 0.281 0.692
0.308 0.719 0.719
0.000 0.000 0.000
```

The formation enthalpy at 0 K is -326 meV/atom. The symmetry is R-3m (166).



[5]
Density functional theory data (PBE) for an optimized crystal structure of PrNpCd2O6.

Geometry as POSCAR:
```
PrNpCd2O6
1.0
5.849 0.000 0.001
2.925 5.065 0.000
2.925 1.689 5.210
O Cd Np Pr
6 2 1 1
Direct
0.584 0.215 0.254
0.121 0.413 0.776
0.947 0.584 0.254
0.215 0.947 0.254
0.413 0.690 0.776
0.690 0.121 0.776
0.536 0.536 0.393
0.026 0.026 0.922
0.320 0.320 0.041
0.811 0.811 0.567
```

The raw formation energy comes out at -22.5 eV/f.u. The symmetry is R3 (146).



[6]
Density functional theory data (PBE) for an optimized crystal structure of BiPNO2.

Geometry as POSCAR:
```
BiPNO2
1.0
4.159 0.000 0.000
0.000 4.159 0.000
0.000 0.000 4.381
P O N Bi
1 2 1 1
Direct
0.500 0.500 0.500
0.000 0.500 0.000
0.500 0.000 0.000
0.000 0.000 0.500
0.000 0.000 0.000
```

The raw formation energy comes out at 4.4 eV/f.u. The symmetry is P4/mmm (123).



[7]
Density functional theory data (PBE) for an optimized crystal structure of Tl3InPt.

Geometry as POSCAR:
```
Tl3InPt
1.0
5.373 0.000 0.000
0.000 5.373 0.000
0.000 0.000 5.373
Tl In Pt
3 1 1
Direct
0.000 0.000 0.500
0.500 0.000 0.000
0.000 0.500 0.000
0.500 0.500 0.500
0.000 0.000 0.000
```

The formation enthalpy at 0 K is 81 meV/atom. Its polymorph energy (0 for the lowest one) is 0 meV/atom. The symmetry is Pm-3m (221).



[8]
Density functional theory data (PBE) for an optimized crystal structure of Ti4Nb2Sn.

Geometry as POSCAR:
```
Ti4Nb2Sn
1.0
-2.531 3.767 2.090
-4.308 -2.218 -1.218
-3.408 -2.298 5.988
Sn Nb Ti
1 2 4
Direct
0.000 0.000 0.000
0.606 0.606 0.787
0.394 0.394 0.213
0.500 0.000 0.000
0.208 0.208 0.583
0.000 0.500 0.000
0.792 0.792 0.417
```

The formation enthalpy at 0 K is 1042 meV/atom. Its polymorph energy (0 for the lowest one) is 791 meV/atom. The symmetry is I4/mmm (139).



[9]
Density functional theory data (PBE) for an optimized crystal structure of Ho12Sb6Ru.

Geometry as POSCAR:
```
Ho12Sb6Ru
1.0
-7.150 3.862 -2.478
-3.118 -7.661 1.940
0.744 3.255 7.812
Sb Ho Ru
6 12 1
Direct
0.684 0.880 0.353
0.353 0.684 0.880
0.316 0.120 0.647
0.120 0.647 0.316
0.647 0.316 0.120
0.880 0.353 0.684
0.197 0.415 0.547
0.008 0.687 0.940
0.687 0.940 0.008
0.415 0.547 0.197
0.585 0.453 0.803
0.453 0.803 0.585
0.940 0.008 0.687
0.992 0.313 0.060
0.060 0.992 0.313
0.547 0.197 0.415
0.803 0.585 0.453
0.313 0.060 0.992
0.000 0.000 0.000
```

The raw formation energy comes out at -12.0 eV/f.u. The symmetry is R-3 (148).



[10]
Density functional theory data (PBE) for an optimized crystal structure of Li6SN4.

Geometry as POSCAR:
```
Li6SN4
1.0
-0.808 -2.511 5.734
6.259 -0.268 0.765
-0.047 4.466 1.949
N Li S
8 12 2
Direct
0.284 0.500 0.678
0.784 0.000 0.822
0.500 0.716 0.322
0.716 0.500 0.678
0.500 0.284 0.322
0.000 0.784 0.178
0.216 0.000 0.822
0.000 0.216 0.178
0.712 0.712 0.000
0.212 0.788 0.500
0.712 0.288 0.000
0.788 0.212 0.500
0.288 0.712 0.000
0.500 0.000 0.652
0.000 0.500 0.848
0.788 0.788 0.500
0.288 0.288 0.000
0.500 0.000 0.152
0.212 0.212 0.500
0.000 0.500 0.348
0.000 0.000 0.000
0.500 0.500 0.500
```

The raw formation energy comes out at -5.3 eV/f.u. The symmetry is P4_2/nmc (137).



[11]
Density functional theory data (PBE) for an optimized crystal structure of Ta3FeP.

Geometry as POSCAR:
```
Ta3FeP
1.0
3.279 0.000 0.000
0.000 6.592 -0.005
0.000 3.053 7.522
Ta P Fe
6 2 2
Direct
0.250 0.347 0.158
0.750 0.243 0.492
0.750 0.653 0.842
0.250 0.757 0.508
0.250 0.320 0.805
0.750 0.680 0.195
0.750 0.020 0.296
0.250 0.980 0.704
0.750 0.011 0.884
0.250 0.989 0.116
```

The formation enthalpy at 0 K is -93 meV/atom. Its polymorph energy (0 for the lowest one) is 0 meV/atom. The symmetry is P2_1/m (11).



[12]
Density functional theory data (PBE) for an optimized crystal structure of ScTlCd.

Geometry as POSCAR:
```
ScTlCd
1.0
-3.843 -0.792 -2.804
1.707 -3.532 2.805
-6.772 3.347 8.336
Cd Sc Tl
2 2 2
Direct
0.667 0.333 0.750
0.333 0.667 0.250
0.000 0.000 0.500
0.000 0.000 0.000
0.000 0.000 0.750
0.000 0.000 0.250
```

The formation enthalpy at 0 K is 734 meV/atom. The symmetry is P6_3/mmc (194).



no.,M_tot (μB per formula unit),calculated density (g cm⁻³)
1,3.0,3.931
2,0.0,18.712
3,2.4,6.437
4,0.0,12.647
5,2.0,7.517
6,0.0,6.265
7,0.0,9.882
8,0.0,5.199
9,0.0,7.996
10,0.0,2.219
11,0.0,12.855
12,0.8,5.302